VASP calculation (PBE) on a geometry-optimized La4PrDy6 structure.

a b c (Å): 9.7134 9.7134 9.7134
angles (deg): 138.80 138.80 59.67
Element x y z (fractional)
La 0.0143 0.6316 0.0000
La 0.3684 0.3684 0.3827
La 0.6316 0.0143 0.0000
La 0.9857 0.9857 0.6173
Pr 0.0000 0.0000 0.0000
Dy 0.0000 0.5000 0.5000
Dy 0.2093 0.2093 0.6524
Dy 0.4430 0.7907 0.0000
Dy 0.5000 0.0000 0.5000
Dy 0.5570 0.5570 0.3476
Dy 0.7907 0.4430 0.0000

Values from the calculation:
For the uncorrected energy, the calculation gives -4.44 eV per atom.



VASP calculation (PBE) on a geometry-optimized PaGa2Ni2 structure.

a b c (Å): 4.0625 4.0625 9.8251
angles (deg): 90.00 90.00 90.00
Element x y z (fractional)
Pa 0.2500 0.2500 0.2433
Pa 0.7500 0.7500 0.7567
Ga 0.2500 0.2500 0.8729
Ga 0.2500 0.7500 0.5000
Ga 0.7500 0.2500 0.5000
Ga 0.7500 0.7500 0.1271
Ni 0.2500 0.2500 0.6360
Ni 0.2500 0.7500 0.0000
Ni 0.7500 0.2500 0.0000
Ni 0.7500 0.7500 0.3640

Values from the calculation:
For the uncorrected energy, the calculation gives -5.89 eV per atom. As for the energy above the most stable polymorph in this dataset: 0 meV per atom.



VASP calculation (PBE) on a geometry-optimized Nd2ScAl2Pd5 structure.

a b c (Å): 10.4876 10.4876 3.5132
angles (deg): 90.00 90.00 90.00
Element x y z (fractional)
Nd 0.1768 0.3232 0.0000
Nd 0.3232 0.8232 0.0000
Nd 0.6768 0.1768 0.0000
Nd 0.8232 0.6768 0.0000
Sc 0.0000 0.0000 0.0000
Sc 0.5000 0.5000 0.0000
Al 0.1231 0.6231 0.0000
Al 0.3769 0.1231 0.0000
Al 0.6231 0.8769 0.0000
Al 0.8769 0.3769 0.0000
Pd 0.0000 0.5000 0.5000
Pd 0.0591 0.7917 0.5000
Pd 0.2083 0.0591 0.5000
Pd 0.2917 0.5591 0.5000
Pd 0.4409 0.2917 0.5000
Pd 0.5000 0.0000 0.5000
Pd 0.5591 0.7083 0.5000
Pd 0.7083 0.4409 0.5000
Pd 0.7917 0.9409 0.5000
Pd 0.9409 0.2083 0.5000

Values from the calculation:
For the uncorrected energy, the calculation gives -5.73 eV per atom.



Copy entry 3 word for word.
VASP calculation (PBE) on a geometry-optimized Nd2ScAl2Pd5 structure.

a b c (Å): 10.4876 10.4876 3.5132
angles (deg): 90.00 90.00 90.00
Element x y z (fractional)
Nd 0.1768 0.3232 0.0000
Nd 0.3232 0.8232 0.0000
Nd 0.6768 0.1768 0.0000
Nd 0.8232 0.6768 0.0000
Sc 0.0000 0.0000 0.0000
Sc 0.5000 0.5000 0.0000
Al 0.1231 0.6231 0.0000
Al 0.3769 0.1231 0.0000
Al 0.6231 0.8769 0.0000
Al 0.8769 0.3769 0.0000
Pd 0.0000 0.5000 0.5000
Pd 0.0591 0.7917 0.5000
Pd 0.2083 0.0591 0.5000
Pd 0.2917 0.5591 0.5000
Pd 0.4409 0.2917 0.5000
Pd 0.5000 0.0000 0.5000
Pd 0.5591 0.7083 0.5000
Pd 0.7083 0.4409 0.5000
Pd 0.7917 0.9409 0.5000
Pd 0.9409 0.2083 0.5000

Values from the calculation:
For the uncorrected energy, the calculation gives -5.73 eV per atom.



- Look up the uncorrected energy of the first one.
  -4.44 eV per atom



What did the first record say?
VASP calculation (PBE) on a geometry-optimized La4PrDy6 structure.

a b c (Å): 9.7134 9.7134 9.7134
angles (deg): 138.80 138.80 59.67
Element x y z (fractional)
La 0.0143 0.6316 0.0000
La 0.3684 0.3684 0.3827
La 0.6316 0.0143 0.0000
La 0.9857 0.9857 0.6173
Pr 0.0000 0.0000 0.0000
Dy 0.0000 0.5000 0.5000
Dy 0.2093 0.2093 0.6524
Dy 0.4430 0.7907 0.0000
Dy 0.5000 0.0000 0.5000
Dy 0.5570 0.5570 0.3476
Dy 0.7907 0.4430 0.0000

Values from the calculation:
For the uncorrected energy, the calculation gives -4.44 eV per atom.